(1)
! LaNbWF2 (SCAN, PBEsol geometry); values from VASP
&SYSTEM
  ibrav = 0, nat = 5, ntyp = 4
/
ATOMIC_SPECIES
Nb 92.91 Nb.upf
F 19.00 F.upf
W 183.84 W.upf
La 138.91 La.upf
ATOMIC_POSITIONS crystal
Nb 0.000 0.000 0.500
F 0.000 0.500 0.000
F 0.500 0.000 0.000
W 0.000 0.000 0.000
La 0.500 0.500 0.500
CELL_PARAMETERS angstrom
4.190 0.000 0.000
0.000 4.190 0.000
0.000 0.000 5.151
! Formation energy from raw total energies: -0.435 eV/atom

=====

(2)
! NdGe3 (SCAN, PBEsol geometry); values from VASP
&SYSTEM
  ibrav = 0, nat = 4, ntyp = 2
/
ATOMIC_SPECIES
Ge 72.64 Ge.upf
Nd 144.24 Nd.upf
ATOMIC_POSITIONS crystal
Ge 0.000 0.500 0.500
Ge 0.500 0.000 0.500
Ge 0.500 0.500 0.000
Nd 0.000 0.000 0.000
CELL_PARAMETERS angstrom
4.329 0.000 0.000
0.000 4.329 0.000
0.000 0.000 4.329
! E_form: -0.440 eV per atom

=====

(3)
! NaPH6O6 (SCAN, PBEsol geometry); values from VASP
&SYSTEM
  ibrav = 0, nat = 56, ntyp = 4
/
ATOMIC_SPECIES
Na 22.99 Na.upf
P 30.97 P.upf
H 1.01 H.upf
O 16.00 O.upf
ATOMIC_POSITIONS crystal
Na 0.710 0.612 0.925
Na 0.210 0.888 0.075
Na 0.290 0.112 0.575
Na 0.790 0.388 0.425
P 0.535 0.283 0.151
P 0.035 0.217 0.849
P 0.465 0.783 0.349
P 0.965 0.717 0.651
H 0.510 0.606 0.158
H 0.010 0.894 0.842
H 0.490 0.106 0.342
H 0.990 0.394 0.658
H 0.263 0.271 0.029
H 0.763 0.229 0.971
H 0.737 0.771 0.471
H 0.237 0.729 0.529
H 0.847 0.034 0.176
H 0.347 0.466 0.824
H 0.153 0.534 0.324
H 0.653 0.966 0.676
H 0.865 0.856 0.259
H 0.365 0.644 0.741
H 0.135 0.356 0.241
H 0.635 0.144 0.759
H 0.584 0.974 0.003
H 0.084 0.526 0.997
H 0.416 0.474 0.497
H 0.916 0.026 0.503
H 0.515 0.934 0.868
H 0.015 0.566 0.132
H 0.485 0.434 0.632
H 0.985 0.066 0.368
O 0.553 0.263 0.288
O 0.053 0.237 0.712
O 0.447 0.763 0.212
O 0.947 0.737 0.788
O 0.689 0.161 0.082
O 0.189 0.339 0.918
O 0.311 0.661 0.418
O 0.811 0.839 0.582
O 0.567 0.486 0.107
O 0.067 0.014 0.893
O 0.433 0.986 0.393
O 0.933 0.514 0.607
O 0.312 0.222 0.116
O 0.812 0.278 0.884
O 0.688 0.722 0.384
O 0.188 0.778 0.616
O 0.944 0.960 0.226
O 0.444 0.540 0.774
O 0.056 0.460 0.274
O 0.556 0.040 0.726
O 0.516 0.879 0.951
O 0.016 0.621 0.049
O 0.484 0.379 0.549
O 0.984 0.121 0.451
CELL_PARAMETERS angstrom
6.608 0.000 0.000
0.000 7.209 0.000
0.000 0.000 10.997
! Electronic total energy: -0.4973 Ry/atom

=====

(4)
! CuAg2HgIr (SCAN, PBEsol geometry); values from VASP
&SYSTEM
  ibrav = 0, nat = 5, ntyp = 4
/
ATOMIC_SPECIES
Ir 192.22 Ir.upf
Hg 200.59 Hg.upf
Ag 107.87 Ag.upf
Cu 63.55 Cu.upf
ATOMIC_POSITIONS crystal
Ir 0.000 0.000 0.000
Hg 0.000 0.000 0.500
Ag 0.000 0.500 0.000
Ag 0.500 0.000 0.000
Cu 0.500 0.500 0.500
CELL_PARAMETERS angstrom
4.968 0.000 0.000
0.000 4.968 0.000
0.000 0.000 5.055
! E_form: 1.339 eV per atom

=====

(5)
! Ga2Ni2Pd (SCAN, PBEsol geometry); values from VASP
&SYSTEM
  ibrav = 0, nat = 10, ntyp = 3
/
ATOMIC_SPECIES
Ni 58.69 Ni.upf
Ga 69.72 Ga.upf
Pd 106.42 Pd.upf
ATOMIC_POSITIONS crystal
Ni 0.500 0.140 0.640
Ni 0.500 0.640 0.860
Ni 0.500 0.860 0.360
Ni 0.500 0.360 0.140
Ga 0.000 0.344 0.844
Ga 0.000 0.844 0.656
Ga 0.000 0.656 0.156
Ga 0.000 0.156 0.344
Pd 0.000 0.000 0.000
Pd 0.000 0.500 0.500
CELL_PARAMETERS angstrom
-1.944 1.373 -1.316
-0.594 -5.125 -4.471
-4.737 -2.908 3.963
! E_form: -0.382 eV per atom

=====

(6)
! CdNi3As (SCAN, PBEsol geometry); values from VASP
&SYSTEM
  ibrav = 0, nat = 5, ntyp = 3
/
ATOMIC_SPECIES
Ni 58.69 Ni.upf
As 74.92 As.upf
Cd 112.41 Cd.upf
ATOMIC_POSITIONS crystal
Ni 0.000 0.500 0.000
Ni 0.000 0.000 0.500
Ni 0.500 0.000 0.000
As 0.000 0.000 0.000
Cd 0.500 0.500 0.500
CELL_PARAMETERS angstrom
4.281 0.000 0.000
0.000 4.281 0.000
0.000 0.000 4.281
! E_form: 0.266 eV per atom

=====

(7)
! Li2TePb (SCAN, PBEsol geometry); values from VASP
&SYSTEM
  ibrav = 0, nat = 4, ntyp = 3
/
ATOMIC_SPECIES
Pb 207.20 Pb.upf
Te 127.60 Te.upf
Li 6.94 Li.upf
ATOMIC_POSITIONS crystal
Pb 0.500 0.000 0.000
Te 0.000 0.500 0.000
Li 0.737 0.737 0.474
Li 0.263 0.263 0.526
CELL_PARAMETERS angstrom
4.101 0.000 0.000
0.000 5.115 0.000
-2.050 -2.557 4.335
! E above lowest polymorph: 94 meV per atom
! Formation energy from raw total energies: -0.505 eV/atom

=====

(8)
! ScPt2Cl (SCAN, PBEsol geometry); values from VASP
&SYSTEM
  ibrav = 0, nat = 4, ntyp = 3
/
ATOMIC_SPECIES
Sc 44.96 Sc.upf
Pt 195.08 Pt.upf
Cl 35.45 Cl.upf
ATOMIC_POSITIONS crystal
Sc 0.000 0.500 0.000
Pt 0.738 0.738 0.476
Pt 0.262 0.262 0.524
Cl 0.500 0.000 0.000
CELL_PARAMETERS angstrom
-1.021 -0.986 -2.579
-3.482 -1.936 2.119
-0.398 5.630 -0.314
! Formation energy from raw total energies: -0.852 eV/atom